*A*
A plane-wave DFT calculation with GGA-PBE was carried out for a relaxed AcTbAu4 crystal.

Computed properties:
As for the total magnetization: 0.000 μB/atom.

a b c (Å): 4.9692 3.7437 8.8051
angles (deg): 65.41 84.23 90.90
Element x y z (fractional)
Au  0.9813  0.8158  0.1782
Au  0.0214  0.1788  0.8180
Au  0.5518  0.3269  0.6603
Au  0.4508  0.6676  0.3362
Ac  0.5016  0.4972  0.9982
Tb  0.0009  0.9974  0.4980

*B*
A plane-wave DFT calculation with GGA-PBE was carried out for a relaxed AcTbAu4 crystal.

Computed properties:
As for the total magnetization: 0.000 μB/atom.

a b c (Å): 5.8104 5.8104 5.8104
angles (deg): 60.00 60.00 60.00
Element x y z (fractional)
Au  0.6259  0.1224  0.6259
Au  0.6259  0.6259  0.1224
Au  0.6259  0.6259  0.6259
Au  0.1224  0.6259  0.6259
Ac  0.2500  0.2500  0.2500
Tb  0.0000  0.0000  0.0000

Energies relative to the most stable structure are *A* 0; *B* 262, reported in meV/atom.

*A*
A plane-wave DFT calculation with GGA-PBE was carried out for a relaxed AcTbAu crystal.

Computed properties:
As for the total magnetization: 0.000 μB/atom.

a b c (Å): 4.5767 4.9452 4.9452
angles (deg): 120.00 90.00 90.00
Element x y z (fractional)
Ac  0.3339  0.3333  0.6667
Au  0.8320  0.0000  0.0000
Tb  0.8341  0.6667  0.3333

*B*
A plane-wave DFT calculation with GGA-PBE was carried out for a relaxed AcTbAu crystal.

Computed properties:
As for the total magnetization: 0.000 μB/atom.

a b c (Å): 3.7707 3.7707 7.0862
angles (deg): 105.43 105.43 90.00
Element x y z (fractional)
Tb  0.2963  0.2963  0.5926
Ac  0.0156  0.0156  0.0312
Au  0.6881  0.6881  0.3761

*C*
A plane-wave DFT calculation with GGA-PBE was carried out for a relaxed AcTbAu crystal.

Computed properties:
As for the total magnetization: 0.000 μB/atom.

a b c (Å): 7.7386 9.5198 9.5198
angles (deg): 65.23 66.02 66.02
Element x y z (fractional)
Au  0.0746  0.1691  0.1691
Au  0.4127  0.8309  0.8309
Au  0.7694  0.2499  0.7499
Au  0.4127  0.3309  0.3309
Au  0.7692  0.7501  0.2501
Au  0.0746  0.6691  0.6691
Ac  0.7570  0.4502  0.9502
Ac  0.3592  0.2500  0.7500
Ac  0.3592  0.7500  0.2500
Ac  0.1576  0.0497  0.5497
Ac  0.7571  0.9503  0.4503
Ac  0.1574  0.5498  0.0498
Tb  0.4890  0.6290  0.6291
Tb  0.0131  0.5000  0.5000
Tb  0.4890  0.1291  0.1290
Tb  0.7472  0.3710  0.3709
Tb  0.7472  0.8709  0.8710
Tb  0.0131  0.0000  0.0000

Energies relative to the most stable structure are *A* 127; *B* 39; *C* 0, reported in meV/atom.

*A*
A plane-wave DFT calculation with GGA-PBE was carried out for a relaxed AcTbAu crystal.

Computed properties:
As for the total magnetization: 0.000 μB/atom.

a b c (Å): 4.8998 4.8905 10.3708
angles (deg): 103.63 90.00 120.06
Element x y z (fractional)
Au  0.2674  0.5348  0.3026
Au  0.7326  0.4652  0.6974
Tb  0.3679  0.7358  0.6042
Tb  0.6321  0.2642  0.3958
Ac  0.1198  0.2396  0.8593
Ac  0.8802  0.7604  0.1407

*B*
A plane-wave DFT calculation with GGA-PBE was carried out for a relaxed AcTbAu crystal.

Computed properties:
As for the total magnetization: 0.000 μB/atom.

a b c (Å): 5.0168 5.0168 7.5666
angles (deg): 89.99 89.99 90.00
Element x y z (fractional)
Au  0.8136  0.8665  0.1308
Au  0.3138  0.3667  0.7084
Ac  0.8134  0.8662  0.5406
Ac  0.3134  0.3663  0.2987
Tb  0.3137  0.8666  0.9196
Tb  0.8137  0.3666  0.9196

*C*
A plane-wave DFT calculation with GGA-PBE was carried out for a relaxed AcTbAu crystal.

Computed properties:
As for the total magnetization: 0.000 μB/atom.

a b c (Å): 5.2377 5.2377 5.2377
angles (deg): 60.00 60.00 60.00
Element x y z (fractional)
Ac  0.0000  0.0000  0.0000
Tb  0.5000  0.5000  0.5000
Au  0.2500  0.2500  0.2500

Energies relative to the most stable structure are *A* 159; *B* 0; *C* 233, reported in meV/atom.